# Nd4DyHo7, relaxed, DFT GGA-PBE
# ΔH_f (0 K) = 0.09 eV/atom
# theoretical density = 8.0 g cm⁻³
# DFT total energy = -4.555 eV/atom
# distance to the lowest polymorph of the same formula = 0.000 eV/f.u.
# N(E_F) = 18.850 states/eV per cell
data_Nd4DyHo7
_cell_length_a 6.838
_cell_length_b 6.559
_cell_length_c 11.848
_cell_angle_alpha 75.34
_cell_angle_beta 49.85
_cell_angle_gamma 81.76
_symmetry_space_group_name_H-M 'P 1'
_symmetry_Int_Tables_number 1
loop_
_symmetry_equiv_pos_as_xyz
'x,y,z'
loop_
_atom_site_label
_atom_site_type_symbol
_atom_site_fract_x
_atom_site_fract_y
_atom_site_fract_z
_atom_site_occupancy
Nd1 Nd 0.526 0.639 0.284 1
Nd2 Nd 0.474 0.361 0.716 1
Nd3 Nd 0.691 0.836 0.694 1
Nd4 Nd 0.309 0.164 0.306 1
Dy1 Dy 0.000 0.000 0.000 1
Ho1 Ho 0.803 0.512 0.950 1
Ho2 Ho 0.197 0.488 0.050 1
Ho3 Ho 0.057 0.318 0.642 1
Ho4 Ho 0.943 0.682 0.358 1
Ho5 Ho 0.278 0.813 0.617 1
Ho6 Ho 0.500 0.000 0.000 1
Ho7 Ho 0.722 0.187 0.383 1